1.
DFT (PBEsol) results for a geometry-optimized AlHg2Pb structure.

extended XYZ file:
```
8
Lattice="13.7712 0.0000 0.0000 0.0000 3.3333 0.0000 -1.3846 0.0000 4.1838" Properties=species:S:1:pos:R:3 pbc="T T T"
Al 0.0000 0.0000 0.0000
Al 6.8856 1.6667 0.0000
Hg -0.6096 1.6667 2.1178
Hg 3.3045 0.0000 3.4238
Hg 6.2759 0.0000 2.1178
Hg 10.1901 1.6667 3.4238
Pb 2.4902 1.6667 0.8331
Pb 9.3758 0.0000 0.8331
```

## Properties
The calculation puts the energy of formation at 0.078 eV/atom. Its space group is No. 8. The crystal system is monoclinic.



2.
DFT (PBEsol) results for a geometry-optimized AlHg2Pb structure.

extended XYZ file:
```
12
Lattice="3.5218 0.0000 0.0000 -1.7609 3.0499 0.0000 0.0000 0.0000 26.0598" Properties=species:S:1:pos:R:3 pbc="T T T"
Al 0.0000 0.0000 0.0000
Al 0.0000 2.0333 17.3732
Al 1.7609 1.0166 8.6866
Hg 0.0000 0.0000 6.8098
Hg 0.0000 0.0000 19.2500
Hg 0.0000 2.0333 10.5634
Hg 0.0000 2.0333 24.1830
Hg 1.7609 1.0166 1.8768
Hg 1.7609 1.0166 15.4964
Pb 0.0000 0.0000 13.0299
Pb 0.0000 2.0333 4.3433
Pb 1.7609 1.0166 21.7165
```

## Properties
The calculation puts the energy of formation at 0.044 eV/atom. Its space group is No. 166. The crystal system is trigonal.



3.
DFT (PBEsol) results for a geometry-optimized AlHg2Pb structure.

extended XYZ file:
```
8
Lattice="6.4684 0.0000 0.0000 0.0000 7.8899 0.0000 0.0000 0.0000 3.6746" Properties=species:S:1:pos:R:3 pbc="T T T"
Al 0.0000 0.0000 0.0000
Al 3.2342 3.9449 0.0000
Hg 1.6171 1.9725 1.8373
Hg 1.6171 5.9174 1.8373
Hg 4.8513 1.9725 1.8373
Hg 4.8513 5.9174 1.8373
Pb 0.0000 3.9449 0.0000
Pb 3.2342 0.0000 0.0000
```

## Properties
The calculation puts the energy of formation at 0.146 eV/atom. Its space group is No. 65. The crystal system is orthorhombic.



4.
DFT (PBEsol) results for a geometry-optimized AlHg3Pd structure.

extended XYZ file:
```
5
Lattice="5.1304 0.0000 0.0000 0.0000 5.1304 0.0000 0.0000 0.0000 5.1304" Properties=species:S:1:pos:R:3 pbc="T T T"
Al 0.0000 0.0000 0.0000
Hg 0.0000 2.5652 2.5652
Hg 2.5652 0.0000 2.5652
Hg 2.5652 2.5652 0.0000
Pd 2.5652 2.5652 2.5652
```

## Properties
The calculation puts the energy of formation at 0.331 eV/atom. Its space group is No. 221. The excess energy over the best structure of this formula in the dataset comes out at 0.0000 eV per atom. The crystal system is cubic.



5.
DFT (PBEsol) results for a geometry-optimized AlHg3Pd structure.

extended XYZ file:
```
5
Lattice="4.9703 0.0000 0.0000 0.0000 4.9703 0.0000 0.0000 0.0000 4.9703" Properties=species:S:1:pos:R:3 pbc="T T T"
Al 0.0000 0.0000 0.0000
Hg 0.0000 0.0000 2.4851
Hg 0.0000 2.4851 0.0000
Hg 2.4851 0.0000 0.0000
Pd 2.4851 2.4851 2.4851
```

## Properties
The calculation puts the energy of formation at 0.574 eV/atom. Its space group is No. 221. The excess energy over the best structure of this formula in the dataset comes out at 0.2432 eV per atom. The crystal system is cubic.



6.
DFT (PBEsol) results for a geometry-optimized RbAl3Hg structure.

extended XYZ file:
```
5
Lattice="5.2636 0.0000 0.0000 0.0000 5.2636 0.0000 0.0000 0.0000 5.2636" Properties=species:S:1:pos:R:3 pbc="T T T"
Rb 0.0000 0.0000 0.0000
Al 0.0000 2.6318 2.6318
Al 2.6318 0.0000 2.6318
Al 2.6318 2.6318 0.0000
Hg 2.6318 2.6318 2.6318
```

## Properties
The calculation puts the energy of formation at 0.553 eV/atom. Its space group is No. 221. The excess energy over the best structure of this formula in the dataset comes out at 0.0000 eV per atom. The crystal system is cubic.



7.
DFT (PBEsol) results for a geometry-optimized RbAlHg3 structure.

extended XYZ file:
```
5
Lattice="5.2802 0.0000 0.0000 0.0000 5.2802 0.0000 0.0000 0.0000 5.2802" Properties=species:S:1:pos:R:3 pbc="T T T"
Rb 0.0000 0.0000 0.0000
Al 2.6401 2.6401 2.6401
Hg 0.0000 2.6401 2.6401
Hg 2.6401 0.0000 2.6401
Hg 2.6401 2.6401 0.0000
```

## Properties
The calculation puts the energy of formation at -0.098 eV/atom. Its space group is No. 221. The crystal system is cubic.



8.
DFT (PBEsol) results for a geometry-optimized RbAl3Hg structure.

extended XYZ file:
```
5
Lattice="5.9514 0.0000 0.0000 0.0000 5.9514 0.0000 0.0000 0.0000 5.9514" Properties=species:S:1:pos:R:3 pbc="T T T"
Rb 0.0000 0.0000 0.0000
Al 0.0000 0.0000 2.9757
Al 0.0000 2.9757 0.0000
Al 2.9757 0.0000 0.0000
Hg 2.9757 2.9757 2.9757
```

## Properties
The calculation puts the energy of formation at 1.676 eV/atom. Its space group is No. 221. The excess energy over the best structure of this formula in the dataset comes out at 1.1230 eV per atom. The crystal system is cubic.



9.
DFT (PBEsol) results for a geometry-optimized Rb2Al2Hg structure.

extended XYZ file:
```
10
Lattice="7.1636 0.0000 0.0000 0.0000 7.1636 0.0000 0.0000 0.0000 7.4882" Properties=species:S:1:pos:R:3 pbc="T T T"
Rb 0.0000 3.5818 1.8721
Rb 0.0000 3.5818 5.6162
Rb 3.5818 0.0000 1.8721
Rb 3.5818 0.0000 5.6162
Al 0.0000 0.0000 1.1974
Al 0.0000 0.0000 6.2909
Al 3.5818 3.5818 2.5467
Al 3.5818 3.5818 4.9415
Hg 0.0000 0.0000 3.7441
Hg 3.5818 3.5818 0.0000
```

## Properties
The calculation puts the energy of formation at 0.335 eV/atom. Its space group is No. 139. The crystal system is tetragonal.



10.
DFT (PBEsol) results for a geometry-optimized Al2ReHg structure.

extended XYZ file:
```
4
Lattice="3.2619 0.0000 0.0000 0.0000 3.2619 0.0000 0.0000 0.0000 5.9139" Properties=species:S:1:pos:R:3 pbc="T T T"
Al 0.0000 0.0000 1.2801
Al 0.0000 0.0000 4.6338
Re 1.6310 1.6310 0.0000
Hg 1.6310 1.6310 2.9570
```

## Properties
The calculation puts the energy of formation at -0.019 eV/atom. Its space group is No. 123. The crystal system is tetragonal.



11.
DFT (PBEsol) results for a geometry-optimized Al3ReHg structure.

extended XYZ file:
```
5
Lattice="4.7762 0.0000 0.0000 0.0000 4.7762 0.0000 0.0000 0.0000 4.7762" Properties=species:S:1:pos:R:3 pbc="T T T"
Al 0.0000 0.0000 2.3881
Al 0.0000 2.3881 0.0000
Al 2.3881 0.0000 0.0000
Re 2.3881 2.3881 2.3881
Hg 0.0000 0.0000 0.0000
```

## Properties
The calculation puts the energy of formation at 1.592 eV/atom. Its space group is No. 221. The crystal system is cubic.



12.
DFT (PBEsol) results for a geometry-optimized Al2ReHg structure.

extended XYZ file:
```
16
Lattice="7.1550 0.0000 0.0000 0.0000 7.1550 0.0000 0.0000 0.0000 5.5592" Properties=species:S:1:pos:R:3 pbc="T T T"
Al 1.6413 5.3662 0.6949
Al 1.7887 1.6413 4.8643
Al 1.7887 1.9362 2.0847
Al 1.9362 5.3662 3.4745
Al 5.2188 1.7887 3.4745
Al 5.3662 5.2188 2.0847
Al 5.3662 5.5136 4.8643
Al 5.5136 1.7887 0.6949
Re 0.0000 0.0000 0.0000
Re 0.0000 3.5775 1.3898
Re 3.5775 0.0000 4.1694
Re 3.5775 3.5775 2.7796
Hg 0.0000 0.0000 2.7796
Hg 0.0000 3.5775 4.1694
Hg 3.5775 0.0000 1.3898
Hg 3.5775 3.5775 0.0000
```

## Properties
The calculation puts the energy of formation at 0.615 eV/atom. Its space group is No. 122. The crystal system is tetragonal.



13.
DFT (PBEsol) results for a geometry-optimized Al2ReHg structure.

extended XYZ file:
```
8
Lattice="9.6998 0.0000 0.0000 0.0000 2.7920 0.0000 -0.6635 0.0000 4.7107" Properties=species:S:1:pos:R:3 pbc="T T T"
Al 0.0000 0.0000 0.0000
Al 1.8760 0.0000 3.2843
Al 4.8499 1.3960 0.0000
Al 6.7259 1.3960 3.2843
Re 2.1675 1.3960 0.8516
Re 7.0174 0.0000 0.8516
Hg 4.3761 0.0000 2.2977
Hg 9.2260 1.3960 2.2977
```

## Properties
The calculation puts the energy of formation at 0.133 eV/atom. Its space group is No. 8. The crystal system is monoclinic.



14.
DFT (PBEsol) results for a geometry-optimized AlRe4Hg structure.

extended XYZ file:
```
6
Lattice="0.0000 3.6685 3.6685 3.6685 0.0000 3.6685 3.6685 3.6685 0.0000" Properties=species:S:1:pos:R:3 pbc="T T T"
Al 0.0000 0.0000 0.0000
Re 2.7516 2.7516 2.7516
Re 4.5855 4.5855 2.7516
Re 4.5855 2.7516 4.5855
Re 2.7516 4.5855 4.5855
Hg 5.5028 5.5028 5.5028
```

## Properties
The calculation puts the energy of formation at 0.609 eV/atom. Its space group is No. 216. The crystal system is cubic.



15.
DFT (PBEsol) results for a geometry-optimized AlHg2Rh structure.

extended XYZ file:
```
12
Lattice="3.0569 0.0000 0.0000 -1.5284 2.6473 0.0000 0.0000 0.0000 26.5839" Properties=species:S:1:pos:R:3 pbc="T T T"
Al 0.0000 0.0000 0.0000
Al 0.0000 1.7649 17.7226
Al 1.5284 0.8824 8.8613
Hg 0.0000 0.0000 13.8020
Hg 0.0000 0.0000 20.0580
Hg 0.0000 1.7649 4.9407
Hg 0.0000 1.7649 11.1967
Hg 1.5284 0.8824 2.3354
Hg 1.5284 0.8824 22.6633
Rh 0.0000 0.0000 7.1798
Rh 0.0000 1.7649 24.9025
Rh 1.5284 0.8824 16.0412
```

## Properties
The calculation puts the energy of formation at -0.124 eV/atom. Its space group is No. 160. The crystal system is trigonal.